Density functional theory data (PBE-GGA) for a relaxed Ta2InAgHg crystal.

Properties
energy	-3.994	eV per atom
formation energy from the elements	1.925	eV per atom
total moment	0.0	Bohr magnetons per cell

Cell: 5.131 5.131 5.079 Å, 90.00 90.00 90.00°
Element x y z (fractional)
Ta: 0.000 0.500 0.000
Ta: 0.500 0.000 0.000
In: 0.000 0.000 0.500
Ag: 0.500 0.500 0.500
Hg: 0.000 0.000 0.000


Density functional theory data (PBE-GGA) for a relaxed Hf5TiTc4 crystal.

Properties
energy	-10.294	eV per atom
formation energy from the elements	-0.381	eV per atom
total moment	0.0	Bohr magnetons per cell

Cell: 3.274 3.274 16.697 Å, 90.00 90.00 90.00°
Element x y z (fractional)
Hf: 0.000 0.000 0.000
Hf: 0.000 0.000 0.194
Hf: 0.000 0.000 0.386
Hf: 0.000 0.000 0.614
Hf: 0.000 0.000 0.806
Ti: 0.500 0.500 0.500
Tc: 0.500 0.500 0.098
Tc: 0.500 0.500 0.296
Tc: 0.500 0.500 0.704
Tc: 0.500 0.500 0.902


Density functional theory data (PBE-GGA) for a relaxed K2U2IrSe6 crystal.

Properties
energy	-5.909	eV per atom
formation energy from raw total energies	-0.951	eV/atom
total moment	5.0	Bohr magnetons per cell

Cell: 6.721 6.721 8.450 Å, 98.38 98.38 119.06°
Element x y z (fractional)
K: 0.172 0.828 0.000
K: 0.828 0.172 0.000
U: 0.327 0.673 0.500
U: 0.673 0.327 0.500
Ir: 0.000 0.000 0.500
Se: 0.080 0.381 0.702
Se: 0.235 0.235 0.308
Se: 0.381 0.080 0.702
Se: 0.619 0.920 0.298
Se: 0.765 0.765 0.692
Se: 0.920 0.619 0.298


Density functional theory data (PBE-GGA) for a relaxed MnSi2Au crystal.

Properties
energy	-5.579	eV per atom
formation energy from raw total energies	0.244	eV/atom
total moment	3.6	Bohr magnetons per cell

Cell: 2.926 4.822 8.231 Å, 90.00 90.00 90.00°
Element x y z (fractional)
Mn: 0.000 0.000 0.000
Mn: 0.500 0.500 0.500
Si: 0.000 0.500 0.271
Si: 0.000 0.500 0.729
Si: 0.500 0.000 0.229
Si: 0.500 0.000 0.771
Au: 0.000 0.000 0.500
Au: 0.500 0.500 0.000


Density functional theory data (PBE-GGA) for a relaxed ZrRuAu2 crystal.

Properties
energy	-6.469	eV per atom
formation energy from the elements	-0.374	eV per atom
total moment	0.0	Bohr magnetons per cell

Cell: 3.960 3.960 4.428 Å, 90.00 90.00 90.00°
Element x y z (fractional)
Zr: 0.000 0.000 0.000
Ru: 0.500 0.500 0.000
Au: 0.000 0.500 0.500
Au: 0.500 0.000 0.500


Density functional theory data (PBE-GGA) for a relaxed Nb2Tl2FeSe6 crystal.

Properties
energy	-5.450	eV per atom
formation energy from raw total energies	-0.519	eV/atom
total moment	0.0	Bohr magnetons per cell

Cell: 6.252 6.252 8.504 Å, 96.24 96.24 122.27°
Element x y z (fractional)
Nb: 0.136 0.864 0.000
Nb: 0.864 0.136 0.000
Tl: 0.315 0.685 0.500
Tl: 0.685 0.315 0.500
Fe: 0.500 0.500 0.000
Se: 0.132 0.462 0.827
Se: 0.262 0.262 0.209
Se: 0.462 0.132 0.827
Se: 0.538 0.868 0.173
Se: 0.738 0.738 0.791
Se: 0.868 0.538 0.173